Entry 1:
An optimized crystal structure of RbTlWCl6. Source: Alexandria, functional PBE.

Computed properties:
Formation energy from raw total energies, eV/atom: -1.11
Density of states at the Fermi level, states/eV/cell: 18.500
Space group: P-31c, No. 163

a = 7.7766 Å, b = 7.7766 Å, c = 11.5421 Å
α = 90.00°, β = 90.00°, γ = 120.00°
Closest atoms and distances in Å follow each position.
Fractional coordinates of all 18 atoms:
Cl (0.6717, 0.5872, 0.1294)  1 W 2.40
Cl (0.4128, 0.3283, 0.3706)  1 W 2.40
W (0.6667, 0.3333, 0.2500)  6 Cl 2.40
Cl (0.0845, 0.4128, 0.6294)  1 W 2.40
Cl (0.9155, 0.3283, 0.1294)  1 W 2.40
Rb (0.3333, 0.6667, 0.2500)  6 Cl 3.30
Cl (0.9155, 0.5872, 0.3706)  1 W 2.40
Cl (0.3283, 0.4128, 0.8706)  1 W 2.40
Tl (0.0000, 0.0000, 0.0000)  6 Cl 3.30
Rb (0.6667, 0.3333, 0.7500)  6 Cl 3.30
Tl (0.0000, 0.0000, 0.5000)  6 Cl 3.30
Cl (0.5872, 0.9155, 0.8706)  1 W 2.40
Cl (0.4128, 0.0845, 0.1294)  1 W 2.40
Cl (0.6717, 0.0845, 0.3706)  1 W 2.40
Cl (0.5872, 0.6717, 0.6294)  1 W 2.40
Cl (0.3283, 0.9155, 0.6294)  1 W 2.40
W (0.3333, 0.6667, 0.7500)  6 Cl 2.40
Cl (0.0845, 0.6717, 0.8706)  1 W 2.40

Entry 2:
An optimized crystal structure of RbTlZn2Cl6. Source: Alexandria, functional PBE.

Computed properties:
Formation energy from raw total energies, eV/atom: -1.30
Density of states at the Fermi level, states/eV/cell: 0.000
Space group: C2/c, No. 15

a = 6.8298 Å, b = 9.8999 Å, c = 9.8999 Å
α = 90.61°, β = 84.92°, γ = 84.92°
Closest atoms and distances in Å follow each position.
Fractional coordinates of all 20 atoms:
Cl (0.0855, 0.2832, 0.3856)  2 Zn 2.36-2.38
Rb (0.7500, 0.1054, 0.8946)  6 Cl 3.27-3.36
Cl (0.9145, 0.7168, 0.6144)  2 Zn 2.36-2.38
Cl (0.2999, 0.2189, 0.0232)  1 Zn 2.26
Zn (0.7267, 0.6321, 0.8007)  4 Cl 2.24-2.38
Cl (0.3423, 0.8460, 0.4206)  1 Zn 2.24
Zn (0.7733, 0.1993, 0.3679)  4 Cl 2.24-2.38
Cl (0.1577, 0.5794, 0.1540)  1 Zn 2.24
Zn (0.2733, 0.3679, 0.1993)  4 Cl 2.24-2.38
Tl (0.2500, 0.3070, 0.6931)  6 Cl 3.16-3.43
Zn (0.2267, 0.8007, 0.6321)  4 Cl 2.24-2.38
Cl (0.7999, 0.0232, 0.2189)  1 Zn 2.26
Cl (0.7001, 0.7811, 0.9768)  1 Zn 2.26
Tl (0.7500, 0.6931, 0.3070)  6 Cl 3.16-3.43
Cl (0.2001, 0.9768, 0.7811)  1 Zn 2.26
Cl (0.4145, 0.6144, 0.7168)  2 Zn 2.36-2.38
Cl (0.6577, 0.1540, 0.5794)  1 Zn 2.24
Cl (0.5855, 0.3856, 0.2832)  2 Zn 2.36-2.38
Rb (0.2500, 0.8946, 0.1054)  6 Cl 3.27-3.36
Cl (0.8423, 0.4206, 0.8460)  1 Zn 2.24

Entry 3:
An optimized crystal structure of Rb3Tl3ZnCl8. Source: Alexandria, functional PBE.

Computed properties:
Formation energy from raw total energies, eV/atom: -1.39
Density of states at the Fermi level, states/eV/cell: 0.000
Space group: R-3m, No. 166

a = 9.1871 Å, b = 9.1845 Å, c = 9.0835 Å
α = 120.35°, β = 90.00°, γ = 120.01°
Closest atoms and distances in Å follow each position.
Fractional coordinates of all 15 atoms:
Rb (0.5000, 0.5000, 0.5000)  6 Cl 3.25-3.33
Rb (0.0000, 0.5000, 0.5000)  6 Cl 3.25-3.33
Cl (0.2487, 0.4975, 0.2463)  3 Tl 3.21, 3 Rb 3.25
Tl (0.0000, 0.5000, 0.0000)  6 Cl 3.21-3.28
Cl (0.8053, 0.0028, 0.7006)  1 Zn 2.55
Cl (0.8026, 0.6052, 0.2994)  1 Zn 2.55
Tl (0.0000, 0.0000, 0.0000)  6 Cl 3.21-3.27
Cl (0.7513, 0.5025, 0.7537)  3 Tl 3.21, 3 Rb 3.25
Cl (0.8025, 0.9972, 0.2994)  1 Zn 2.55
Zn (0.0000, 0.0000, 0.5000)  6 Cl 2.55
Tl (0.5000, 0.5000, 0.0000)  6 Cl 3.21-3.28
Cl (0.1974, 0.3948, 0.7006)  1 Zn 2.55
Rb (0.5000, 0.0000, 0.5000)  6 Cl 3.25-3.33
Cl (0.1947, 0.9972, 0.2994)  1 Zn 2.55
Cl (0.1975, 0.0028, 0.7006)  1 Zn 2.55

Entry 4:
An optimized crystal structure of RbTl2ZnCl5. Source: Alexandria, functional PBE.

Computed properties:
Formation energy from raw total energies, eV/atom: -1.30
Density of states at the Fermi level, states/eV/cell: 0.000
Space group: I4/mcm, No. 140

a = 8.6372 Å, b = 8.6372 Å, c = 9.5669 Å
α = 116.83°, β = 116.83°, γ = 90.00°
Closest atoms and distances in Å follow each position.
Fractional coordinates of all 18 atoms:
Cl (0.8020, 0.0069, 0.3089)  1 Zn 2.29
Cl (0.1980, 0.9931, 0.6911)  1 Zn 2.29
Cl (0.3020, 0.8020, 0.3089)  1 Zn 2.29
Zn (0.2500, 0.7500, 0.5000)  4 Cl 2.29
Cl (0.0069, 0.5069, 0.3089)  1 Zn 2.29
Cl (0.9931, 0.4931, 0.6911)  1 Zn 2.29
Cl (0.6980, 0.1980, 0.6911)  1 Zn 2.29
Rb (0.7500, 0.7500, 0.5000)  10 Cl 3.59-3.68
Cl (0.0000, 0.0000, 0.0000)  4 Tl 3.22
Zn (0.7500, 0.2500, 0.5000)  4 Cl 2.29
Tl (0.1659, 0.3341, 0.0000)  8 Cl 3.22-3.54
Cl (0.5000, 0.5000, 0.0000)  4 Tl 3.22
Tl (0.3341, 0.8341, 0.0000)  8 Cl 3.22-3.54
Rb (0.2500, 0.2500, 0.5000)  10 Cl 3.59-3.68
Cl (0.4931, 0.6980, 0.6911)  1 Zn 2.29
Tl (0.8341, 0.6659, 0.0000)  8 Cl 3.22-3.54
Tl (0.6659, 0.1659, 0.0000)  8 Cl 3.22-3.54
Cl (0.5069, 0.3020, 0.3089)  1 Zn 2.29

Entry 5:
An optimized crystal structure of RbTlZnCl4. Source: Alexandria, functional PBE.

Computed properties:
Formation energy from raw total energies, eV/atom: -1.38
Density of states at the Fermi level, states/eV/cell: 0.000
Space group: P2_1/m, No. 11

a = 7.1733 Å, b = 7.2179 Å, c = 9.2212 Å
α = 90.00°, β = 107.91°, γ = 90.00°
Closest atoms and distances in Å follow each position.
Fractional coordinates of all 14 atoms:
Cl (0.0049, 0.5020, 0.2202)  1 Zn 2.30
Cl (0.0049, 0.9980, 0.2202)  1 Zn 2.30
Rb (0.2084, 0.2500, 0.5400)  6 Cl 3.27-3.54
Cl (0.3617, 0.7500, 0.5411)  1 Zn 2.28
Cl (0.9951, 0.0020, 0.7798)  1 Zn 2.30
Cl (0.6383, 0.2500, 0.4589)  1 Zn 2.28
Rb (0.7916, 0.7500, 0.4600)  6 Cl 3.27-3.54
Zn (0.2168, 0.7500, 0.2835)  4 Cl 2.27-2.30
Cl (0.9951, 0.4980, 0.7798)  1 Zn 2.30
Tl (0.2706, 0.2500, 0.0627)  5 Cl 3.28-3.29
Zn (0.7832, 0.2500, 0.7165)  4 Cl 2.27-2.30
Cl (0.5735, 0.2500, 0.8577)  1 Zn 2.27
Tl (0.7294, 0.7500, 0.9373)  5 Cl 3.28-3.29
Cl (0.4265, 0.7500, 0.1423)  1 Zn 2.27

Entry 6:
An optimized crystal structure of Rb2TlZnCl5. Source: Alexandria, functional PBE.

Computed properties:
Formation energy from raw total energies, eV/atom: -1.50
Density of states at the Fermi level, states/eV/cell: 0.000
Space group: I4/mcm, No. 140

a = 9.0717 Å, b = 9.0717 Å, c = 9.4512 Å
α = 118.68°, β = 118.68°, γ = 90.00°
Closest atoms and distances in Å follow each position.
Fractional coordinates of all 18 atoms:
Rb (0.3356, 0.8356, 0.0000)  8 Cl 3.26-3.51
Zn (0.7500, 0.2500, 0.5000)  4 Cl 2.28
Cl (0.9900, 0.4900, 0.6944)  1 Zn 2.28
Tl (0.7500, 0.7500, 0.5000)  10 Cl 3.47-3.74
Cl (0.7044, 0.2044, 0.6944)  1 Zn 2.28
Cl (0.2044, 0.9900, 0.6944)  1 Zn 2.28
Zn (0.2500, 0.7500, 0.5000)  4 Cl 2.28
Rb (0.6644, 0.1644, 0.0000)  8 Cl 3.26-3.51
Cl (0.4900, 0.7044, 0.6944)  1 Zn 2.28
Tl (0.2500, 0.2500, 0.5000)  10 Cl 3.47-3.74
Cl (0.7956, 0.0100, 0.3056)  1 Zn 2.28
Cl (0.0100, 0.5100, 0.3056)  1 Zn 2.28
Cl (0.2956, 0.7956, 0.3056)  1 Zn 2.28
Cl (0.5000, 0.5000, 0.0000)  4 Rb 3.39, 2 Tl 3.47
Cl (0.0000, 0.0000, 0.0000)  4 Rb 3.39, 2 Tl 3.47
Cl (0.5100, 0.2956, 0.3056)  1 Zn 2.28
Rb (0.8356, 0.6644, 0.0000)  8 Cl 3.26-3.51
Rb (0.1644, 0.3356, 0.0000)  8 Cl 3.26-3.51

Entry 7:
An optimized crystal structure of RbTlZn2Cl8. Source: Alexandria, functional PBE.

Computed properties:
Formation energy from raw total energies, eV/atom: -1.10
Density of states at the Fermi level, states/eV/cell: 0.000
Space group: P-1, No. 2

a = 6.7154 Å, b = 7.3966 Å, c = 9.1839 Å
α = 96.89°, β = 103.55°, γ = 62.12°
Closest atoms and distances in Å follow each position.
Fractional coordinates of all 12 atoms:
Cl (0.7508, 0.3128, 0.2069)  1 Zn 2.25
Zn (0.4447, 0.5007, 0.3136)  4 Cl 2.25-2.38
Cl (0.0799, 0.6867, 0.1922)  1 Zn 2.25
Cl (0.3361, 0.0164, 0.1419)  1 Tl 2.38
Tl (0.0000, 0.0000, 0.0000)  2 Cl 2.38
Rb (0.0000, 0.0000, 0.5000)  6 Cl 3.34-3.41
Cl (0.4381, 0.3008, 0.4949)  2 Zn 2.38
Cl (0.5619, 0.6992, 0.5051)  2 Zn 2.38
Zn (0.5553, 0.4993, 0.6864)  4 Cl 2.25-2.38
Cl (0.9201, 0.3133, 0.8078)  1 Zn 2.25
Cl (0.6639, 0.9836, 0.8581)  1 Tl 2.38
Cl (0.2492, 0.6872, 0.7931)  1 Zn 2.25

Entry 8:
An optimized crystal structure of Rb2TlZnCl6. Source: Alexandria, functional PBE.

Computed properties:
Formation energy from raw total energies, eV/atom: -1.32
Density of states at the Fermi level, states/eV/cell: 3.586
Space group: Pmmn, No. 59

a = 7.4575 Å, b = 7.4571 Å, c = 10.5887 Å
α = 90.00°, β = 90.00°, γ = 90.00°
Closest atoms and distances in Å follow each position.
Fractional coordinates of all 20 atoms:
Cl (0.7338, 0.0138, 0.5000)  1 Zn 2.47
Rb (0.0000, 0.2495, 0.7500)  12 Cl 3.72-3.75
Zn (0.5000, 0.2487, 0.5000)  6 Cl 2.47-2.48
Cl (0.0000, 0.7511, 0.2347)  1 Zn 2.48
Tl (0.0000, 0.7487, 0.5000)  6 Cl 2.80-2.81
Cl (0.2338, 0.9862, 0.0000)  1 Zn 2.47
Cl (0.0000, 0.7511, 0.7653)  1 Zn 2.48
Cl (0.2662, 0.0138, 0.5000)  1 Zn 2.47
Rb (0.5000, 0.7505, 0.2500)  12 Cl 3.72-3.75
Tl (0.5000, 0.2513, 0.0000)  6 Cl 2.80-2.81
Cl (0.7662, 0.9862, 0.0000)  1 Zn 2.47
Cl (0.7653, 0.5176, 0.0000)  1 Zn 2.47
Zn (0.0000, 0.7513, 0.0000)  6 Cl 2.47-2.48
Cl (0.5000, 0.2489, 0.2653)  1 Zn 2.48
Cl (0.5000, 0.2489, 0.7347)  1 Zn 2.48
Cl (0.2653, 0.4824, 0.5000)  1 Zn 2.47
Cl (0.2347, 0.5176, 0.0000)  1 Zn 2.47
Cl (0.7347, 0.4824, 0.5000)  1 Zn 2.47
Rb (0.0000, 0.2495, 0.2500)  12 Cl 3.72-3.75
Rb (0.5000, 0.7505, 0.7500)  12 Cl 3.72-3.75

Entry 9:
An optimized crystal structure of RbTlZnCl6. Source: Alexandria, functional PBE.

Computed properties:
Formation energy from raw total energies, eV/atom: -1.12
Density of states at the Fermi level, states/eV/cell: 0.000
Space group: P312, No. 149

a = 6.6760 Å, b = 6.6762 Å, c = 7.3792 Å
α = 90.02°, β = 89.98°, γ = 59.95°
Closest atoms and distances in Å follow each position.
Fractional coordinates of all 9 atoms:
Cl (0.6330, 0.9839, 0.2997)  1 Zn 2.50, 1 Tl 2.64
Zn (0.6665, 0.6666, 0.5000)  6 Cl 2.50
Cl (0.6330, 0.3829, 0.7002)  1 Zn 2.50, 1 Tl 2.64
Cl (0.9839, 0.6330, 0.7003)  1 Zn 2.50, 1 Tl 2.64
Cl (0.9841, 0.3830, 0.2998)  1 Zn 2.50, 1 Tl 2.64
Cl (0.3829, 0.9842, 0.7002)  1 Zn 2.50, 1 Tl 2.64
Tl (0.3334, 0.3334, 0.5000)  6 Cl 2.64
Rb (0.0001, 0.0001, 0.0000)  6 Cl 3.34
Cl (0.3829, 0.6330, 0.2998)  1 Zn 2.50, 1 Tl 2.64

Entry 10:
An optimized crystal structure of Rb2ZrTlCl8. Source: Alexandria, functional PBE.

Computed properties:
Formation energy from raw total energies, eV/atom: -1.56
Space group: P-1, No. 2

a = 7.2049 Å, b = 6.3545 Å, c = 9.1738 Å
α = 74.81°, β = 93.77°, γ = 89.09°
Closest atoms and distances in Å follow each position.
Fractional coordinates of all 12 atoms:
Cl (0.0180, 0.7058, 0.2454)  1 Zr 2.52
Rb (0.4880, 0.6128, 0.2089)  8 Cl 3.31-3.68
Cl (0.2899, 0.1468, 0.0921)  1 Zr 2.49
Cl (0.9820, 0.2942, 0.7546)  1 Zr 2.52
Cl (0.5840, 0.8162, 0.5013)  1 Cl 2.61
Cl (0.1897, 0.7718, 0.8786)  1 Zr 2.49
Tl (0.0000, 0.0000, 0.5000)  6 Cl 3.23-3.56
Cl (0.8103, 0.2282, 0.1214)  1 Zr 2.49
Rb (0.5120, 0.3872, 0.7911)  8 Cl 3.31-3.68
Cl (0.4160, 0.1838, 0.4987)  1 Cl 2.61
Cl (0.7101, 0.8532, 0.9079)  1 Zr 2.49
Zr (0.0000, 0.0000, 0.0000)  6 Cl 2.49-2.52

Entry 11:
An optimized crystal structure of RbZrTl2Cl8. Source: Alexandria, functional PBE.

Computed properties:
Formation energy from raw total energies, eV/atom: -1.40
Density of states at the Fermi level, states/eV/cell: 5.628
Space group: P-1, No. 2

a = 6.9498 Å, b = 6.6329 Å, c = 9.1583 Å
α = 89.68°, β = 89.94°, γ = 89.48°
Closest atoms and distances in Å follow each position.
Fractional coordinates of all 12 atoms:
Tl (0.4997, 0.4986, 0.7488)  4 Cl 2.85-3.14
Rb (0.0000, 0.0000, 0.5000)  6 Cl 3.21-3.31
Cl (0.1377, 0.7764, 0.1947)  1 Zr 2.50
Cl (0.1407, 0.7789, 0.8068)  1 Zr 2.50
Tl (0.5003, 0.5014, 0.2512)  4 Cl 2.85-3.14
Cl (0.2970, 0.2095, 0.0010)  1 Zr 2.50
Cl (0.7030, 0.7905, 0.9990)  1 Zr 2.50
Cl (0.6260, 0.7195, 0.4997)  2 Tl 2.85
Cl (0.8593, 0.2211, 0.1932)  1 Zr 2.50
Zr (0.0000, 0.0000, 0.0000)  6 Cl 2.50
Cl (0.3740, 0.2805, 0.5003)  2 Tl 2.85
Cl (0.8623, 0.2236, 0.8053)  1 Zr 2.50

Entry 12:
An optimized crystal structure of Rb2ZrTlCl6. Source: Alexandria, functional PBE.

Computed properties:
Formation energy from raw total energies, eV/atom: -1.63
Density of states at the Fermi level, states/eV/cell: 7.368
Space group: Fm-3m, No. 225

a = 7.9444 Å, b = 7.9444 Å, c = 7.9448 Å
α = 60.00°, β = 60.00°, γ = 90.00°
Closest atoms and distances in Å follow each position.
Fractional coordinates of all 10 atoms:
Cl (0.2728, 0.7272, 0.0000)  1 Zr 2.55
Cl (0.7272, 0.7272, 0.0000)  1 Zr 2.55
Cl (0.7272, 0.2728, 0.0000)  1 Zr 2.55
Zr (0.5000, 0.5000, 0.0000)  6 Cl 2.55
Rb (0.2500, 0.7500, 0.5000)  12 Cl 3.98
Cl (0.7273, 0.7273, 0.5454)  1 Zr 2.55
Cl (0.2727, 0.2727, 0.4546)  1 Zr 2.55
Rb (0.7500, 0.2500, 0.5000)  12 Cl 3.98
Tl (0.0000, 0.0000, 0.0000)  6 Cl 3.06
Cl (0.2728, 0.2728, 0.0000)  1 Zr 2.55